1.
# NdZrRu4

Crystalline NdZrRu4 at its relaxed geometry (PBE, Alexandria via LeMat-Bulk).

abc: 5.321 5.321 5.321
angles: 60.00 60.00 60.00
Fractional positions:
Ru1 0.624 0.127 0.624
Zr1 0.250 0.250 0.250
Ru2 0.624 0.624 0.127
Ru3 0.624 0.624 0.624
Nd1 0.000 0.000 0.000
Ru4 0.127 0.624 0.624

Values from the calculation:
The calculation puts the total DFT energy (no corrections) at -51.5 eV per cell. The value obtained for the energy relative to the elements is -0.1872 eV per atom. As for the crystal system: cubic.

***

2.
# Nd4S7

Crystalline Nd4S7 at its relaxed geometry (PBE, Alexandria via LeMat-Bulk).

abc: 5.598 5.598 8.119
angles: 90.00 90.00 90.00
Fractional positions:
S1 0.000 0.000 0.000
S2 0.500 0.000 0.000
S3 0.253 0.747 0.364
Nd1 0.753 0.753 0.272
S4 0.747 0.747 0.636
Nd2 0.753 0.247 0.728
Nd3 0.247 0.247 0.272
S5 0.747 0.253 0.364
S6 0.253 0.253 0.636
S7 0.000 0.500 0.000
Nd4 0.247 0.753 0.728

Values from the calculation:
The calculation puts the total DFT energy (no corrections) at -68.2 eV per cell. The uncorrected formation energy is -1.836 eV/atom. As for the crystal system: tetragonal.

***

3.
# Nd10S19

Crystalline Nd10S19 at its relaxed geometry (PBE, Alexandria via LeMat-Bulk).

abc: 8.964 8.964 16.239
angles: 90.00 90.00 90.00
Fractional positions:
S1 0.500 0.500 0.500
Nd1 0.195 0.896 0.353
S2 0.697 0.398 0.812
Nd2 0.500 0.000 0.635
S3 0.902 0.799 0.824
S4 0.639 0.173 0.500
S5 0.327 0.139 0.000
S6 0.000 0.000 0.000
Nd3 0.902 0.791 0.128
S7 0.201 0.902 0.176
S8 0.803 0.102 0.688
S9 0.946 0.280 0.499
S10 0.861 0.327 0.000
Nd4 0.500 0.000 0.135
S11 0.673 0.861 0.000
S12 0.398 0.303 0.188
S13 0.780 0.554 0.999
Nd5 0.604 0.695 0.853
S14 0.799 0.098 0.176
Nd6 0.709 0.402 0.628
Nd7 0.896 0.805 0.647
Nd8 0.104 0.195 0.647
S15 0.102 0.197 0.312
S16 0.220 0.446 0.999
Nd9 0.000 0.500 0.365
Nd10 0.805 0.104 0.353
Nd11 0.098 0.209 0.128
Nd12 0.695 0.396 0.147
S17 0.602 0.697 0.188
Nd13 0.291 0.598 0.628
S18 0.280 0.054 0.501
S19 0.701 0.402 0.324
S20 0.000 0.500 0.684
S21 0.500 0.000 0.816
S22 0.173 0.361 0.500
Nd14 0.402 0.291 0.372
S23 0.361 0.827 0.500
S24 0.598 0.701 0.676
S25 0.139 0.673 0.000
Nd15 0.791 0.098 0.872
S26 0.500 0.000 0.316
S27 0.299 0.598 0.324
S28 0.402 0.299 0.676
Nd16 0.305 0.604 0.147
Nd17 0.209 0.902 0.872
Nd18 0.000 0.500 0.865
Nd19 0.396 0.305 0.853
S29 0.197 0.898 0.688
S30 0.898 0.803 0.312
S31 0.720 0.946 0.501
S32 0.000 0.500 0.184
S33 0.054 0.720 0.499
S34 0.446 0.780 0.001
Nd20 0.598 0.709 0.372
S35 0.303 0.602 0.812
S36 0.554 0.220 0.001
S37 0.827 0.639 0.500
S38 0.098 0.201 0.824

Values from the calculation:
The calculation puts the total DFT energy (no corrections) at -356.8 eV per cell. The uncorrected formation energy is -1.804 eV/atom. As for the crystal system: tetragonal.

***

4.
# Nd4S

Crystalline Nd4S at its relaxed geometry (PBE, Alexandria via LeMat-Bulk).

abc: 5.526 5.526 5.526
angles: 90.00 90.00 90.00
Fractional positions:
Nd1 0.500 0.500 0.000
S1 0.500 0.500 0.500
Nd2 0.000 0.500 0.500
Nd3 0.500 0.000 0.500
Nd4 0.000 0.000 0.000

Values from the calculation:
The calculation puts the total DFT energy (no corrections) at -26.6 eV per cell. The uncorrected formation energy is -0.676 eV/atom. As for the crystal system: cubic.

***

5.
# Nd6S5

Crystalline Nd6S5 at its relaxed geometry (PBE, Alexandria via LeMat-Bulk).

abc: 7.020 7.039 7.006
angles: 120.16 99.61 70.58
Fractional positions:
Nd1 0.747 0.083 0.660
S1 0.500 0.500 0.000
S2 0.000 0.334 0.669
Nd2 0.747 0.423 0.340
S3 0.000 0.666 0.331
Nd3 0.258 0.254 0.000
Nd4 0.253 0.577 0.660
Nd5 0.253 0.917 0.340
Nd6 0.742 0.746 0.000
S4 0.500 0.167 0.335
S5 0.500 0.833 0.665

Values from the calculation:
The calculation puts the total DFT energy (no corrections) at -69.5 eV per cell. The uncorrected formation energy is -1.839 eV/atom. As for the crystal system: monoclinic.

***

6.
# Nd5S8

Crystalline Nd5S8 at its relaxed geometry (PBE, Alexandria via LeMat-Bulk).

abc: 8.384 8.384 8.384
angles: 60.00 60.00 60.00
Site moments in Bohr magnetons follow the coordinates.
Fractional positions:
S1 0.137 0.589 0.137  0.12
S2 0.150 0.617 0.617  0.03
Nd1 0.371 0.371 0.371  0.00
S3 0.137 0.137 0.137  0.12
Nd2 0.371 0.371 0.886  0.00
S4 0.617 0.150 0.617  0.03
S5 0.137 0.137 0.589  0.12
S6 0.617 0.617 0.617  0.03
Nd3 0.750 0.750 0.750  0.01
Nd4 0.371 0.886 0.371  0.00
S7 0.589 0.137 0.137  0.12
S8 0.617 0.617 0.150  0.03
Nd5 0.886 0.371 0.371  0.00

Values from the calculation:
The calculation puts the total DFT energy (no corrections) at -79.9 eV per cell. The uncorrected formation energy is -1.769 eV/atom. As for the crystal system: cubic.